# FeTeI2N | the Alexandria database | PBE-GGA | optimized geometry
# total energy	-3.343	eV/atom
# ΔE_f (raw)	1263	meV per atom
# total magnetic moment	3.8	μB/cell
# ρ	6.3	g/cm3
data_FeTeI2N
_cell_length_a 4.865
_cell_length_b 4.865
_cell_length_c 5.014
_cell_angle_alpha 90.00
_cell_angle_beta 90.00
_cell_angle_gamma 90.00
_symmetry_space_group_name_H-M 'P 4/m m m'
_symmetry_Int_Tables_number 123
_symmetry_space_group_name_Hall '-P 4 2'
loop_
_atom_site_label
_atom_site_fract_x
_atom_site_fract_y
_atom_site_fract_z
Fe1 0.000 0.000 0.000
Te1 0.500 0.500 0.000
I1 0.000 0.500 0.500
N1 0.500 0.500 0.500